[1]
AcGa3NiIr after structural relaxation, computed with PBE.

As for the volume: 20.5 Å³ per atom. The calculation puts the formation energy at -2.70 eV/f.u.

The structure belongs to space group Cmcm (No. 63); the cell edges are 6.212, 11.916 and 6.660 Å and the angles 90.00°, 90.00° and 90.00°. The inequivalent atoms are Ac at (0.000, 0.249, 0.250), Ga at (0.000, 0.312, 0.750), Ga at (0.220, 0.000, 0.000), Ni at (0.000, 0.500, 0.250) and Ir at (0.000, 0.115, 0.750).

[2]
CeNbVGe2 after structural relaxation, computed with PBE.

As for the volume: 19.2 Å³ per atom. The calculation puts the formation energy at -2.56 eV/f.u.

The structure belongs to space group I-4m2 (No. 119); the cell edges are 4.007, 4.007 and 11.947 Å and the angles 90.00°, 90.00° and 90.00°. The inequivalent atoms are Ce at (0.000, 0.000, 0.000), Nb at (0.000, 0.500, 0.750), V at (0.000, 0.500, 0.250) and Ge at (0.000, 0.000, 0.393).

[3]
Ca2La2Pm3 after structural relaxation, computed with PBE.

As for the volume: 36.7 Å³ per atom. The calculation puts the formation energy at 0.60 eV/f.u.

The structure belongs to space group C2/m (No. 12); the cell edges are 11.683, 5.362 and 8.307 Å and the angles 90.00°, 99.40° and 90.00°. The inequivalent atoms are Ca at (0.069, 0.000, 0.212), La at (0.217, 0.000, 0.645), Pm at (0.000, 0.500, 0.500) and Pm at (0.149, 0.500, 0.925).

[4]
BSeF after structural relaxation, computed with PBE.

As for the volume: 17.5 Å³ per atom. The formation energy (no corrections) is -1304 meV per atom.

The structure belongs to space group Cm (No. 8); the cell edges are 5.726, 3.307 and 5.855 Å and the angles 90.00°, 108.60° and 90.00°. The inequivalent atoms are B at (0.000, 0.000, 0.000), Se at (0.112, 0.500, 0.833) and F at (0.079, 0.000, 0.244).

[5]
CsRbAs2Se after structural relaxation, computed with PBE.

As for the volume: 55.9 Å³ per atom. The formation energy (no corrections) is 632 meV per atom.

The structure belongs to space group P4/mmm (No. 123); the cell edges are 6.619, 6.619 and 6.385 Å and the angles 90.00°, 90.00° and 90.00°. The inequivalent atoms are Cs at (0.000, 0.000, 0.000), Rb at (0.500, 0.500, 0.500), As at (0.000, 0.500, 0.500) and Se at (0.500, 0.500, 0.000).

[6]
Mo2C after structural relaxation, computed with PBE.

As for the volume: 12.6 Å³ per atom. The calculation puts the formation energy at 0.39 eV/f.u.

The structure belongs to space group R3m (No. 160, hexagonal axes); the cell edges are 2.8952, 2.8952 and 15.6765 Å and the angles 90.00°, 90.00° and 120.00°. The inequivalent atoms are Mo at (0.0000, 0.0000, 0.0000), Mo at (0.0000, 0.0000, 0.1782) and C at (0.0000, 0.0000, 0.4228).

[7]
Rb2BaAlF6 after structural relaxation, computed with PBE.

As for the volume: 19.4 Å³ per atom. The formation energy (no corrections) is -3025 meV per atom.

The structure belongs to space group Fm-3m (No. 225); the cell edges are 9.188, 9.188 and 9.188 Å and the angles 90.00°, 90.00° and 90.00°. The inequivalent atoms are Rb at (0.250, 0.250, 0.250), Ba at (0.000, 0.000, 0.000), Al at (0.000, 0.000, 0.500) and F at (0.000, 0.000, 0.296).

[8]
AcDy3Zn2 after structural relaxation, computed with PBE.

As for the volume: 27.6 Å³ per atom. The calculation puts the formation energy at -1.22 eV/f.u.

The structure belongs to space group P4/mmm (No. 123); the cell edges are 3.626, 3.626 and 12.602 Å and the angles 90.00°, 90.00° and 90.00°. The inequivalent atoms are Ac at (0.000, 0.000, 0.000), Dy at (0.500, 0.500, 0.224), Dy at (0.500, 0.500, 0.500) and Zn at (0.000, 0.000, 0.362).

Among the records above, which one has the highest volume?
CsRbAs2Se

What is the formula in the third record?
Ca2La2Pm3